(1)
First-principles (PBE) data for an optimized crystal structure of TlV2Fe2, as listed in Alexandria via LeMat-Bulk.

a = 7.039 Å, b = 7.039 Å, c = 2.828 Å
α = 90.00°, β = 90.00°, γ = 90.00°
Fractional coordinates of all 10 atoms:
Tl 0.000 0.000 0.000
Tl 0.500 0.500 0.000
V 0.151 0.349 0.500
V 0.349 0.849 0.500
V 0.651 0.151 0.500
V 0.849 0.651 0.500
Fe 0.129 0.629 0.000
Fe 0.371 0.129 0.000
Fe 0.629 0.871 0.000
Fe 0.871 0.371 0.000

Results
ΔH_f (0 K) = 0.2317 eV/atom
DOS at the Fermi energy = 4.79 states/eV/f.u.

(2)
First-principles (PBE) data for an optimized crystal structure of TaCdNi, as listed in Alexandria via LeMat-Bulk.

a = 6.196 Å, b = 6.196 Å, c = 6.196 Å
α = 90.00°, β = 90.00°, γ = 90.00°
Fractional coordinates of all 12 atoms:
Ta 0.000 0.000 0.000
Ta 0.000 0.500 0.500
Ta 0.500 0.000 0.500
Ta 0.500 0.500 0.000
Cd 0.250 0.250 0.250
Cd 0.250 0.750 0.750
Cd 0.750 0.250 0.750
Cd 0.750 0.750 0.250
Ni 0.250 0.250 0.750
Ni 0.250 0.750 0.250
Ni 0.750 0.250 0.250
Ni 0.750 0.750 0.750

Results
ΔH_f (0 K) = 0.9111 eV/atom
DOS at the Fermi energy = 3.27 states/eV/f.u.

(3)
First-principles (PBE) data for an optimized crystal structure of K4IBrO, as listed in Alexandria via LeMat-Bulk.

a = 9.414 Å, b = 9.414 Å, c = 7.494 Å
α = 90.00°, β = 90.00°, γ = 133.13°
Fractional coordinates of all 14 atoms:
K 0.000 0.500 0.000
K 0.000 0.500 0.500
K 0.097 0.903 0.750
K 0.397 0.603 0.750
K 0.500 0.000 0.000
K 0.500 0.000 0.500
K 0.603 0.397 0.250
K 0.903 0.097 0.250
I 0.399 0.601 0.250
I 0.601 0.399 0.750
Br 0.108 0.892 0.250
Br 0.892 0.108 0.750
O 0.248 0.752 0.750
O 0.752 0.248 0.250

Results
VASP energy = -22.291 eV per formula unit

(4)
First-principles (PBE) data for an optimized crystal structure of Sc2H5Ru2, as listed in Alexandria via LeMat-Bulk.

a = 7.917 Å, b = 7.917 Å, c = 7.917 Å
α = 145.34°, β = 50.87°, γ = 143.96°
Fractional coordinates of all 18 atoms:
Sc 0.136 0.004 0.133
Sc 0.371 0.004 0.367
Sc 0.629 0.996 0.633
Sc 0.864 0.996 0.867
H 0.000 0.000 0.500
H 0.000 0.500 0.000
H 0.172 0.547 0.625
H 0.221 0.000 0.721
H 0.221 0.500 0.221
H 0.422 0.547 0.875
H 0.578 0.453 0.125
H 0.779 0.000 0.279
H 0.779 0.500 0.779
H 0.828 0.453 0.375
Ru 0.000 0.500 0.500
Ru 0.293 0.543 0.750
Ru 0.500 0.500 0.000
Ru 0.707 0.457 0.250

Results
VASP energy = -51.889 eV per formula unit
DOS at the Fermi energy = 4.13 states/eV/f.u.

(5)
First-principles (PBE) data for an optimized crystal structure of Pr7GeCl12, as listed in Alexandria via LeMat-Bulk.

a = 9.235 Å, b = 9.235 Å, c = 9.235 Å
α = 107.82°, β = 107.82°, γ = 107.82°
Fractional coordinates of all 20 atoms:
Pr 0.000 0.000 0.000
Pr 0.165 0.467 0.383
Pr 0.383 0.165 0.467
Pr 0.467 0.383 0.165
Pr 0.533 0.617 0.835
Pr 0.617 0.835 0.533
Pr 0.835 0.533 0.617
Ge 0.500 0.500 0.500
Cl 0.031 0.115 0.335
Cl 0.115 0.335 0.031
Cl 0.191 0.579 0.722
Cl 0.278 0.809 0.421
Cl 0.335 0.031 0.115
Cl 0.421 0.278 0.809
Cl 0.579 0.722 0.191
Cl 0.665 0.969 0.885
Cl 0.722 0.191 0.579
Cl 0.809 0.421 0.278
Cl 0.885 0.665 0.969
Cl 0.969 0.885 0.665

Results
VASP energy = -99.122 eV per formula unit
DOS at the Fermi energy = 9.52 states/eV/f.u.

(6)
First-principles (PBE) data for an optimized crystal structure of Na2Tl2B10O17, as listed in Alexandria via LeMat-Bulk.

a = 11.644 Å, b = 11.644 Å, c = 11.143 Å
α = 103.31°, β = 103.31°, γ = 32.74°
Fractional coordinates of all 62 atoms:
Na 0.188 0.280 0.186
Na 0.280 0.188 0.686
Na 0.720 0.812 0.314
Na 0.812 0.720 0.814
Tl 0.120 0.736 0.925
Tl 0.264 0.880 0.575
Tl 0.736 0.120 0.425
Tl 0.880 0.264 0.075
B 0.017 0.294 0.847
B 0.056 0.612 0.564
B 0.181 0.530 0.359
B 0.245 0.391 0.997
B 0.248 0.639 0.260
B 0.294 0.017 0.347
B 0.361 0.752 0.240
B 0.388 0.944 0.936
B 0.391 0.245 0.497
B 0.470 0.819 0.141
B 0.530 0.181 0.859
B 0.609 0.755 0.503
B 0.612 0.056 0.064
B 0.639 0.248 0.760
B 0.706 0.983 0.653
B 0.752 0.361 0.740
B 0.755 0.609 0.003
B 0.819 0.470 0.641
B 0.944 0.388 0.436
B 0.983 0.706 0.153
O 0.037 0.677 0.464
O 0.042 0.593 0.026
O 0.053 0.585 0.247
O 0.082 0.744 0.173
O 0.088 0.252 0.347
O 0.233 0.393 0.581
O 0.252 0.088 0.847
O 0.256 0.918 0.327
O 0.294 0.546 0.355
O 0.303 0.351 0.883
O 0.323 0.963 0.036
O 0.351 0.303 0.383
O 0.380 0.620 0.250
O 0.393 0.233 0.081
O 0.407 0.958 0.474
O 0.415 0.947 0.253
O 0.454 0.706 0.145
O 0.546 0.294 0.855
O 0.585 0.053 0.747
O 0.593 0.042 0.526
O 0.607 0.767 0.919
O 0.620 0.380 0.750
O 0.649 0.697 0.617
O 0.677 0.037 0.964
O 0.697 0.649 0.117
O 0.706 0.454 0.645
O 0.744 0.082 0.673
O 0.748 0.912 0.153
O 0.767 0.607 0.419
O 0.912 0.748 0.653
O 0.918 0.256 0.827
O 0.947 0.415 0.753
O 0.958 0.407 0.974
O 0.963 0.323 0.536

Results
VASP energy = -228.996 eV per formula unit
DOS at the Fermi energy = 0.00 states/eV/f.u.

(7)
First-principles (PBE) data for an optimized crystal structure of BaTbHg6, as listed in Alexandria via LeMat-Bulk.

a = 5.250 Å, b = 7.180 Å, c = 5.826 Å
α = 90.00°, β = 90.00°, γ = 90.00°
Fractional coordinates of all 8 atoms:
Ba 0.000 0.000 0.000
Tb 0.500 0.500 0.299
Hg 0.000 0.277 0.487
Hg 0.000 0.500 0.990
Hg 0.000 0.723 0.487
Hg 0.500 0.000 0.404
Hg 0.500 0.280 0.820
Hg 0.500 0.720 0.820

Results
ΔH_f (0 K) = -0.3553 eV/atom
DOS at the Fermi energy = 4.29 states/eV/f.u.

(8)
First-principles (PBE) data for an optimized crystal structure of ZrAsAu3, as listed in Alexandria via LeMat-Bulk.

a = 4.843 Å, b = 4.843 Å, c = 4.843 Å
α = 90.00°, β = 90.00°, γ = 90.00°
Fractional coordinates of all 5 atoms:
Zr 0.000 0.000 0.000
As 0.500 0.500 0.500
Au 0.000 0.500 0.500
Au 0.500 0.000 0.500
Au 0.500 0.500 0.000

Results
ΔH_f (0 K) = 0.4190 eV/atom
DOS at the Fermi energy = 5.27 states/eV/f.u.

(9)
First-principles (PBE) data for an optimized crystal structure of Cs3TmGa2S6, as listed in Alexandria via LeMat-Bulk.

a = 7.392 Å, b = 7.392 Å, c = 9.253 Å
α = 90.00°, β = 90.00°, γ = 120.00°
Fractional coordinates of all 12 atoms:
Cs 0.000 0.000 0.000
Cs 0.333 0.667 0.715
Cs 0.667 0.333 0.285
Tm 0.000 0.000 0.500
Ga 0.333 0.667 0.322
Ga 0.667 0.333 0.678
S 0.162 0.324 0.308
S 0.162 0.838 0.308
S 0.324 0.162 0.692
S 0.676 0.838 0.308
S 0.838 0.162 0.692
S 0.838 0.676 0.692

Results
VASP energy = -51.841 eV per formula unit

(10)
First-principles (PBE) data for an optimized crystal structure of KTc2Ag2, as listed in Alexandria via LeMat-Bulk.

a = 3.509 Å, b = 3.509 Å, c = 18.860 Å
α = 90.00°, β = 90.00°, γ = 90.00°
Fractional coordinates of all 10 atoms:
K 0.000 0.000 0.000
K 0.500 0.500 0.500
Tc 0.000 0.500 0.250
Tc 0.000 0.500 0.750
Tc 0.500 0.000 0.250
Tc 0.500 0.000 0.750
Ag 0.000 0.000 0.371
Ag 0.000 0.000 0.629
Ag 0.500 0.500 0.129
Ag 0.500 0.500 0.871

Results
ΔH_f (0 K) = 0.7149 eV/atom
DOS at the Fermi energy = 3.65 states/eV/f.u.